Material: Co3OF5
Method: DFT, GGA+U
State: relaxed

a b c (Å): 4.6964 5.6839 7.7565
angles (deg): 86.80 88.07 88.73
Closest atoms and distances in Å follow each position.
Atoms (fractional coordinates):
Co  0.0000  0.0000  0.0000  2 O 1.84, 4 F 2.00-2.06
Co  0.0091  0.3191  0.6670  1 O 1.99, 5 F 2.04-2.12
Co  0.4745  0.8445  0.6778  1 O 1.93, 5 F 2.04-2.10
Co  0.5000  0.5000  0.0000  6 F 1.98-2.07
Co  0.5255  0.1555  0.3222  1 O 1.93, 5 F 2.04-2.10
Co  0.9909  0.6809  0.3330  1 O 1.99, 5 F 2.04-2.12
O  0.1810  0.0345  0.7858  3 Co 1.84-1.99
O  0.8190  0.9655  0.2142  3 Co 1.84-1.99
F  0.2003  0.7094  0.0961  3 Co 1.98-2.05
F  0.2052  0.3707  0.4291  3 Co 2.04-2.12
F  0.2956  0.5330  0.7676  3 Co 2.04-2.07
F  0.3014  0.2043  0.1019  3 Co 2.04-2.06
F  0.3031  0.8713  0.4349  3 Co 2.05-2.08
F  0.6969  0.1287  0.5651  3 Co 2.05-2.08
F  0.6986  0.7957  0.8981  3 Co 2.04-2.06
F  0.7044  0.4670  0.2324  3 Co 2.04-2.07
F  0.7948  0.6293  0.5709  3 Co 2.04-2.12
F  0.7997  0.2906  0.9039  3 Co 1.98-2.05

Properties
- E_tot (eV/atom) = -5.1124
- DOS(E_F) (states/eV/f.u.) = 2.16
- calculated density (kg/m³) = 4627
- size of the total moment (Bohr magnetons per cell) = 15.82